The following is a DFT calculation (PBE) of crystalline MgMnCo at its relaxed geometry.

Geometry as POSCAR:
```
MgMnCo
1.0
3.0335 0.0000 0.0000
0.0000 3.0335 0.0000
0.0000 0.0000 8.9854
Mg Mn Co
2 2 2
Cartesian
0.0000 0.0000 0.0000
0.0000 0.0000 2.9909
0.0000 0.0000 5.8971
1.5168 1.5168 7.1684
1.5168 1.5168 1.4161
1.5168 1.5168 4.6095
```

ΔE to the lowest computed polymorph	0.117	eV per atom
magnetization	0.16	μB per formula unit
E	-5.77	eV per atom
SG	P4mm (99)
E_form	184	meV per atom